The following is a GGA-PBE calculation of a relaxed HfGaPd crystal, from OQMD.

Cell lengths 4.464, 4.464, 4.464 Å; angles 60.00, 60.00, 60.00 degrees
Atoms (fractional coordinates):
1 Hf 0.000 0.000 0.000
2 Ga 0.750 0.750 0.750
3 Pd 0.250 0.250 0.250

Summary:
Total moment: 0.00 μB per formula unit
E_tot: -6.1294 eV per atom
Symmetry: F-43m (216)

The following is a GGA-PBE calculation of a relaxed Hf6Ga16Pd7 crystal, from OQMD.

Cell lengths 8.819, 8.819, 8.819 Å; angles 60.00, 60.00, 60.00 degrees
Atoms (fractional coordinates):
1 Hf 0.184 0.184 0.816
2 Hf 0.184 0.816 0.184
3 Hf 0.184 0.816 0.816
4 Hf 0.816 0.184 0.184
5 Hf 0.816 0.184 0.816
6 Hf 0.816 0.816 0.184
7 Ga 0.135 0.622 0.622
8 Ga 0.160 0.160 0.160
9 Ga 0.160 0.160 0.519
10 Ga 0.160 0.519 0.160
11 Ga 0.378 0.378 0.378
12 Ga 0.378 0.378 0.865
13 Ga 0.378 0.865 0.378
14 Ga 0.481 0.840 0.840
15 Ga 0.519 0.160 0.160
16 Ga 0.622 0.135 0.622
17 Ga 0.622 0.622 0.135
18 Ga 0.622 0.622 0.622
19 Ga 0.840 0.481 0.840
20 Ga 0.840 0.840 0.481
21 Ga 0.840 0.840 0.840
22 Ga 0.865 0.378 0.378
23 Pd 0.000 0.000 0.500
24 Pd 0.000 0.500 0.000
25 Pd 0.000 0.500 0.500
26 Pd 0.500 0.000 0.000
27 Pd 0.500 0.000 0.500
28 Pd 0.500 0.500 0.000
29 Pd 0.500 0.500 0.500

Summary:
Total moment: 0.00 μB per formula unit
E_tot: -5.5137 eV per atom
Symmetry: Fm-3m (225)

The following is a GGA-PBE calculation of a relaxed Hf2GaPd2 crystal, from OQMD.

Cell lengths 7.580, 7.580, 7.580 Å; angles 151.69, 151.69, 40.47 degrees
Atoms (fractional coordinates):
1 Hf 0.108 0.108 0.000
2 Hf 0.892 0.892 0.000
3 Ga 0.500 0.500 0.000
4 Pd 0.250 0.750 0.500
5 Pd 0.750 0.250 0.500

Summary:
Total moment: 0.05 μB per formula unit
Polymorph energy (0 for the lowest one): 0.0 kJ per mole of atoms
Symmetry: I4/mmm (139)

The following is a GGA-PBE calculation of a relaxed Hf2GaPd2 crystal, from OQMD.

Cell lengths 6.088, 6.088, 6.088 Å; angles 136.11, 136.11, 63.80 degrees
Atoms (fractional coordinates):
1 Hf 0.250 0.750 0.500
2 Hf 0.750 0.250 0.500
3 Ga 0.000 0.000 0.000
4 Pd 0.379 0.379 0.000
5 Pd 0.621 0.621 0.000

Summary:
Total moment: 0.00 μB per formula unit
Polymorph energy (0 for the lowest one): 0.9 kJ per mole of atoms
Symmetry: I4/mmm (139)

Q: Which value of total moment does entry 4 give?
A: 0.00 μB per formula unit

Q: Which of these has the highest total moment?
A: number 3